# GGA-PBE Pm5Al2Sb, optimized geometry
data_Pm5Al2Sb
_space_group_name_H-M_alt 'I 4/m c m'
_space_group_IT_number 140
_space_group_name_Hall '-I 4 2c'
_cell_length_a 8.367
_cell_length_b 8.367
_cell_length_c 13.200
_cell_angle_alpha 90.00
_cell_angle_beta 90.00
_cell_angle_gamma 90.00
loop_
_atom_site_label
_atom_site_fract_x
_atom_site_fract_y
_atom_site_fract_z
Pm1 0.000 0.000 0.000
Pm2 0.167 0.333 0.148
Al1 0.125 0.375 0.500
Sb1 0.000 0.000 0.250
# Size of the total moment ... 0.00 μB per formula unit
# Energy relative to the elements, uncorrected ... -11.5 kcal/mol of atoms
# Calculated volume ... 924 Å³ per cell
# VASP energy ... -4.92 eV/atom

=====

# GGA-PBE Pm2AlSb, optimized geometry
data_Pm2AlSb
_space_group_name_H-M_alt 'R -3 m'
_space_group_IT_number 166
_space_group_name_Hall '-R 3 2"'
_cell_length_a 4.9946
_cell_length_b 4.9946
_cell_length_c 15.8788
_cell_angle_alpha 90.00
_cell_angle_beta 90.00
_cell_angle_gamma 120.00
loop_
_atom_site_label
_atom_site_fract_x
_atom_site_fract_y
_atom_site_fract_z
Pm1 0.0000 0.0000 0.2480
Al1 0.0000 0.0000 0.5000
Sb1 0.0000 0.0000 0.0000
# Size of the total moment ... 0.00 μB per formula unit
# Excess energy over the best structure of this formula in the dataset ... 74.9 meV/atom
# Energy relative to the elements, uncorrected ... -12.6 kcal/mol of atoms
# Calculated volume ... 343 Å³ per cell
# VASP energy ... -4.89 eV/atom

=====

# GGA-PBE Pm4AlSb, optimized geometry
data_Pm4AlSb
_space_group_name_H-M_alt 'F -4 3 m'
_space_group_IT_number 216
_space_group_name_Hall 'F -4 2 3'
_cell_length_a 14.318
_cell_length_b 14.318
_cell_length_c 14.318
_cell_angle_alpha 90.00
_cell_angle_beta 90.00
_cell_angle_gamma 90.00
loop_
_atom_site_label
_atom_site_fract_x
_atom_site_fract_y
_atom_site_fract_z
Pm1 0.000 0.000 0.189
Pm2 0.055 0.250 0.750
Pm3 0.123 0.123 0.377
Al1 0.161 0.161 0.161
Sb1 0.099 0.099 0.599
# Size of the total moment ... 0.23 μB per formula unit
# Energy relative to the elements, uncorrected ... -11.0 kcal/mol of atoms
# Calculated volume ... 2935 Å³ per cell
# VASP energy ... -4.95 eV/atom

=====

# GGA-PBE PmScAl2, optimized geometry
data_PmScAl2
_space_group_name_H-M_alt 'P 4/m m m'
_space_group_IT_number 123
_space_group_name_Hall '-P 4 2'
_cell_length_a 4.611
_cell_length_b 4.611
_cell_length_c 4.222
_cell_angle_alpha 90.00
_cell_angle_beta 90.00
_cell_angle_gamma 90.00
loop_
_atom_site_label
_atom_site_fract_x
_atom_site_fract_y
_atom_site_fract_z
Pm1 0.000 0.000 0.000
Sc1 0.500 0.500 0.000
Al1 0.000 0.500 0.500
# Size of the total moment ... 0.00 μB per formula unit
# Calculated volume ... 90 Å³ per cell
# VASP energy ... -4.99 eV/atom

=====

# GGA-PBE Pm4ScAl5, optimized geometry
data_Pm4ScAl5
_space_group_name_H-M_alt 'P 4/m m m'
_space_group_IT_number 123
_space_group_name_Hall '-P 4 2'
_cell_length_a 3.607
_cell_length_b 3.607
_cell_length_c 18.507
_cell_angle_alpha 90.00
_cell_angle_beta 90.00
_cell_angle_gamma 90.00
loop_
_atom_site_label
_atom_site_fract_x
_atom_site_fract_y
_atom_site_fract_z
Pm1 0.000 0.000 0.104
Pm2 0.000 0.000 0.312
Sc1 0.000 0.000 0.500
Al1 0.500 0.500 0.000
Al2 0.500 0.500 0.208
Al3 0.500 0.500 0.419
# Size of the total moment ... 0.00 μB per formula unit
# Calculated volume ... 241 Å³ per cell
# VASP energy ... -4.78 eV/atom

=====

# GGA-PBE PmScAl2, optimized geometry
data_PmScAl2
_space_group_name_H-M_alt 'R -3 m'
_space_group_IT_number 166
_space_group_name_Hall '-R 3 2"'
_cell_length_a 3.4483
_cell_length_b 3.4483
_cell_length_c 27.9372
_cell_angle_alpha 90.00
_cell_angle_beta 90.00
_cell_angle_gamma 120.00
loop_
_atom_site_label
_atom_site_fract_x
_atom_site_fract_y
_atom_site_fract_z
Pm1 0.0000 0.0000 0.0000
Sc1 0.0000 0.0000 0.5000
Al1 0.0000 0.0000 0.2445
# Size of the total moment ... 0.00 μB per formula unit
# Calculated volume ... 288 Å³ per cell
# VASP energy ... -4.77 eV/atom

=====

# GGA-PBE PmScAl, optimized geometry
data_PmScAl
_space_group_name_H-M_alt 'P m m m'
_space_group_IT_number 47
_cell_length_a 3.253
_cell_length_b 4.747
_cell_length_c 5.430
_cell_angle_alpha 90.00
_cell_angle_beta 90.00
_cell_angle_gamma 90.00
loop_
_space_group_symop_operation_xyz
'x,y,z'
'-x,-y,-z'
'-x,-y,z'
'x,y,-z'
'x,-y,-z'
'-x,y,z'
'-x,y,-z'
'x,-y,z'
loop_
_atom_site_label
_atom_site_fract_x
_atom_site_fract_y
_atom_site_fract_z
Pm1 0.000 0.000 0.000
Sc1 0.000 0.500 0.500
Al1 0.500 0.000 0.500
# Size of the total moment ... 0.00 μB per formula unit
# Excess energy over the best structure of this formula in the dataset ... 239.5 meV/atom
# Calculated volume ... 84 Å³ per cell
# VASP energy ... -4.95 eV/atom

=====

# GGA-PBE PmSc2Al, optimized geometry
data_PmSc2Al
_space_group_name_H-M_alt 'F m -3 m'
_space_group_IT_number 225
_space_group_name_Hall '-F 4 2 3'
_cell_length_a 7.258
_cell_length_b 7.258
_cell_length_c 7.258
_cell_angle_alpha 90.00
_cell_angle_beta 90.00
_cell_angle_gamma 90.00
loop_
_atom_site_label
_atom_site_fract_x
_atom_site_fract_y
_atom_site_fract_z
Pm1 0.000 0.000 0.000
Sc1 0.250 0.250 0.250
Al1 0.000 0.000 0.500
# Size of the total moment ... 1.79 μB per formula unit
# Excess energy over the best structure of this formula in the dataset ... 165.8 meV/atom
# Calculated volume ... 382 Å³ per cell
# VASP energy ... -5.33 eV/atom

=====

# GGA-PBE PmSc2Al, optimized geometry
data_PmSc2Al
_space_group_name_H-M_alt 'P n m a'
_space_group_IT_number 62
_cell_length_a 5.808
_cell_length_b 3.322
_cell_length_c 20.958
_cell_angle_alpha 90.00
_cell_angle_beta 90.00
_cell_angle_gamma 90.00
loop_
_space_group_symop_operation_xyz
'x,y,z'
'-x,-y,-z'
'-x+1/2,-y,z+1/2'
'x+1/2,y,-z+1/2'
'x+1/2,-y+1/2,-z+1/2'
'-x+1/2,y+1/2,z+1/2'
'-x,y+1/2,-z'
'x,-y+1/2,z'
loop_
_atom_site_label
_atom_site_fract_x
_atom_site_fract_y
_atom_site_fract_z
Pm1 0.200 0.250 0.200
Sc1 0.130 0.750 0.554
Sc2 0.199 0.750 0.348
Al1 0.130 0.750 0.955
# Size of the total moment ... 0.00 μB per formula unit
# Excess energy over the best structure of this formula in the dataset ... 150.7 meV/atom
# Calculated volume ... 404 Å³ per cell
# VASP energy ... -5.34 eV/atom

=====

# GGA-PBE PmSc2Al, optimized geometry
data_PmSc2Al
_space_group_name_H-M_alt 'P 4/m m m'
_space_group_IT_number 123
_space_group_name_Hall '-P 4 2'
_cell_length_a 3.356
_cell_length_b 3.356
_cell_length_c 8.601
_cell_angle_alpha 90.00
_cell_angle_beta 90.00
_cell_angle_gamma 90.00
loop_
_atom_site_label
_atom_site_fract_x
_atom_site_fract_y
_atom_site_fract_z
Pm1 0.000 0.000 0.000
Sc1 0.500 0.500 0.294
Al1 0.000 0.000 0.500
# Size of the total moment ... 0.00 μB per formula unit
# Excess energy over the best structure of this formula in the dataset ... 0.0 meV/atom
# Calculated volume ... 97 Å³ per cell
# VASP energy ... -5.50 eV/atom

=====

# GGA-PBE PmSc6Al, optimized geometry
data_PmSc6Al
_space_group_name_H-M_alt 'C 1 2/m 1'
_space_group_IT_number 12
_cell_length_a 6.930
_cell_length_b 11.257
_cell_length_c 6.197
_cell_angle_alpha 90.00
_cell_angle_beta 122.95
_cell_angle_gamma 90.00
loop_
_space_group_symop_operation_xyz
'x,y,z'
'-x,-y,-z'
'-x,y,-z'
'x,-y,z'
'x+1/2,y+1/2,z'
'-x+1/2,-y+1/2,-z'
'-x+1/2,y+1/2,-z'
'x+1/2,-y+1/2,z'
loop_
_atom_site_label
_atom_site_fract_x
_atom_site_fract_y
_atom_site_fract_z
Pm1 0.000 0.000 0.000
Sc1 0.230 0.272 0.742
Sc2 0.236 0.500 0.277
Al1 0.000 0.500 0.500
# Size of the total moment ... 0.09 μB per formula unit
# Calculated volume ... 406 Å³ per cell
# VASP energy ... -5.54 eV/atom

=====

# GGA-PBE Pm5ScAl3, optimized geometry
data_Pm5ScAl3
_space_group_name_H-M_alt 'P 63/m c m'
_space_group_IT_number 193
_space_group_name_Hall '-P 6c 2'
_cell_length_a 9.1949
_cell_length_b 9.1949
_cell_length_c 6.6835
_cell_angle_alpha 90.00
_cell_angle_beta 90.00
_cell_angle_gamma 120.00
loop_
_atom_site_label
_atom_site_fract_x
_atom_site_fract_y
_atom_site_fract_z
Pm1 0.0000 0.3235 0.2500
Pm2 0.3333 0.6667 0.0000
Sc1 0.0000 0.0000 0.0000
Al1 0.0000 0.3348 0.7500
# Size of the total moment ... 0.01 μB per formula unit
# Calculated volume ... 489 Å³ per cell
# VASP energy ... -4.82 eV/atom

=====

# GGA-PBE PmSc2Al, optimized geometry
data_PmSc2Al
_space_group_name_H-M_alt 'R 3 m'
_space_group_IT_number 160
_space_group_name_Hall 'R 3 -2"'
_cell_length_a 3.3694
_cell_length_b 3.3694
_cell_length_c 30.5179
_cell_angle_alpha 90.00
_cell_angle_beta 90.00
_cell_angle_gamma 120.00
loop_
_atom_site_label
_atom_site_fract_x
_atom_site_fract_y
_atom_site_fract_z
Pm1 0.0000 0.0000 0.0000
Sc1 0.0000 0.0000 0.2397
Sc2 0.0000 0.0000 0.4293
Al1 0.0000 0.0000 0.8347
# Size of the total moment ... 0.00 μB per formula unit
# Excess energy over the best structure of this formula in the dataset ... 154.4 meV/atom
# Calculated volume ... 300 Å³ per cell
# VASP energy ... -5.34 eV/atom

=====

# GGA-PBE PmSc5Al3, optimized geometry
data_PmSc5Al3
_space_group_name_H-M_alt 'P 63/m c m'
_space_group_IT_number 193
_space_group_name_Hall '-P 6c 2'
_cell_length_a 8.6274
_cell_length_b 8.6274
_cell_length_c 6.2552
_cell_angle_alpha 90.00
_cell_angle_beta 90.00
_cell_angle_gamma 120.00
loop_
_atom_site_label
_atom_site_fract_x
_atom_site_fract_y
_atom_site_fract_z
Pm1 0.0000 0.0000 0.0000
Sc1 0.0000 0.3358 0.2500
Sc2 0.3333 0.6667 0.0000
Al1 0.0000 0.3410 0.7500
# Size of the total moment ... 0.00 μB per formula unit
# Calculated volume ... 403 Å³ per cell
# VASP energy ... -5.60 eV/atom

=====

# GGA-PBE Pm2ScAl2, optimized geometry
data_Pm2ScAl2
_space_group_name_H-M_alt 'I m m m'
_space_group_IT_number 71
_space_group_name_Hall '-I 2 2'
_cell_length_a 4.761
_cell_length_b 6.541
_cell_length_c 8.310
_cell_angle_alpha 90.00
_cell_angle_beta 90.00
_cell_angle_gamma 90.00
loop_
_atom_site_label
_atom_site_fract_x
_atom_site_fract_y
_atom_site_fract_z
Pm1 0.000 0.000 0.197
Sc1 0.000 0.500 0.000
Al1 0.000 0.292 0.500
# Size of the total moment ... 0.00 μB per formula unit
# Calculated volume ... 259 Å³ per cell
# VASP energy ... -4.96 eV/atom

=====

# GGA-PBE PmSc12Al3, optimized geometry
data_PmSc12Al3
_space_group_name_H-M_alt 'P 4/m m m'
_space_group_IT_number 123
_space_group_name_Hall '-P 4 2'
_cell_length_a 4.466
_cell_length_b 4.466
_cell_length_c 18.287
_cell_angle_alpha 90.00
_cell_angle_beta 90.00
_cell_angle_gamma 90.00
loop_
_atom_site_label
_atom_site_fract_x
_atom_site_fract_y
_atom_site_fract_z
Pm1 0.000 0.000 0.000
Sc1 0.000 0.500 0.139
Sc2 0.000 0.500 0.380
Sc3 0.500 0.500 0.000
Sc4 0.500 0.500 0.261
Sc5 0.500 0.500 0.500
Al1 0.000 0.000 0.259
Al2 0.000 0.000 0.500
# Size of the total moment ... 0.29 μB per formula unit
# Calculated volume ... 365 Å³ per cell
# VASP energy ... -5.90 eV/atom

=====

# GGA-PBE Pm3ScAl8, optimized geometry
data_Pm3ScAl8
_space_group_name_H-M_alt 'R 3 m'
_space_group_IT_number 160
_space_group_name_Hall 'R 3 -2"'
_cell_length_a 5.5809
_cell_length_b 5.5809
_cell_length_c 27.5198
_cell_angle_alpha 90.00
_cell_angle_beta 90.00
_cell_angle_gamma 120.00
loop_
_atom_site_label
_atom_site_fract_x
_atom_site_fract_y
_atom_site_fract_z
Pm1 0.0000 0.0000 0.0000
Pm2 0.0000 0.0000 0.1258
Pm3 0.0000 0.0000 0.6239
Sc1 0.0000 0.0000 0.5009
Al1 0.0000 0.0000 0.3122
Al2 0.0000 0.0000 0.8131
Al3 0.0011 0.5006 0.0641
Al4 0.1670 0.3339 0.8945
# Size of the total moment ... 0.00 μB per formula unit
# Calculated volume ... 742 Å³ per cell
# VASP energy ... -4.70 eV/atom

=====

# GGA-PBE PmScAl, optimized geometry
data_PmScAl
_space_group_name_H-M_alt 'P 4/n m m'
_space_group_IT_number 129
_cell_length_a 3.522
_cell_length_b 3.522
_cell_length_c 12.131
_cell_angle_alpha 90.00
_cell_angle_beta 90.00
_cell_angle_gamma 90.00
loop_
_space_group_symop_operation_xyz
'x,y,z'
'-x,-y,-z'
'-y+1/2,x,z'
'y+1/2,-x,-z'
'-x+1/2,-y+1/2,z'
'x+1/2,y+1/2,-z'
'y,-x+1/2,z'
'-y,x+1/2,-z'
'x+1/2,-y,-z'
'-x+1/2,y,z'
'-y,-x,-z'
'y,x,z'
'-x,y+1/2,-z'
'x,-y+1/2,z'
'y+1/2,x+1/2,-z'
'-y+1/2,-x+1/2,z'
loop_
_atom_site_label
_atom_site_fract_x
_atom_site_fract_y
_atom_site_fract_z
Pm1 0.250 0.250 0.123
Sc1 0.250 0.250 0.419
Al1 0.250 0.250 0.709
# Size of the total moment ... 0.63 μB per formula unit
# Excess energy over the best structure of this formula in the dataset ... 0.0 meV/atom
# Calculated volume ... 150 Å³ per cell
# VASP energy ... -5.19 eV/atom

=====

# GGA-PBE PmScAl2, optimized geometry
data_PmScAl2
_space_group_name_H-M_alt 'P 4/m m m'
_space_group_IT_number 123
_space_group_name_Hall '-P 4 2'
_cell_length_a 3.544
_cell_length_b 3.544
_cell_length_c 7.061
_cell_angle_alpha 90.00
_cell_angle_beta 90.00
_cell_angle_gamma 90.00
loop_
_atom_site_label
_atom_site_fract_x
_atom_site_fract_y
_atom_site_fract_z
Pm1 0.000 0.000 0.000
Sc1 0.000 0.000 0.500
Al1 0.500 0.500 0.283
# Size of the total moment ... 0.00 μB per formula unit
# Calculated volume ... 89 Å³ per cell
# VASP energy ... -5.05 eV/atom

=====

# GGA-PBE Pm2ScAl9, optimized geometry
data_Pm2ScAl9
_space_group_name_H-M_alt 'R -3 m'
_space_group_IT_number 166
_space_group_name_Hall '-R 3 2"'
_cell_length_a 5.5854
_cell_length_b 5.5854
_cell_length_c 26.4189
_cell_angle_alpha 90.00
_cell_angle_beta 90.00
_cell_angle_gamma 120.00
loop_
_atom_site_label
_atom_site_fract_x
_atom_site_fract_y
_atom_site_fract_z
Pm1 0.0000 0.0000 0.1419
Sc1 0.0000 0.0000 0.0000
Al1 0.0000 0.0000 0.3350
Al2 0.0000 0.0000 0.5000
Al3 0.0068 0.5034 0.9177
# Size of the total moment ... 0.00 μB per formula unit
# Calculated volume ... 714 Å³ per cell
# VASP energy ... -4.42 eV/atom

=====

# GGA-PBE PmScAl, optimized geometry
data_PmScAl
_space_group_name_H-M_alt 'P 3 m 1'
_space_group_IT_number 156
_cell_length_a 5.0971
_cell_length_b 5.0971
_cell_length_c 3.0902
_cell_angle_alpha 90.00
_cell_angle_beta 90.00
_cell_angle_gamma 120.00
loop_
_space_group_symop_operation_xyz
'x,y,z'
'-y,x-y,z'
'-x+y,-x,z'
'-y,-x,z'
'-x+y,y,z'
'x,x-y,z'
loop_
_atom_site_label
_atom_site_fract_x
_atom_site_fract_y
_atom_site_fract_z
Pm1 0.0000 0.0000 0.0000
Sc1 0.6667 0.3333 0.9950
Al1 0.3333 0.6667 0.4981
# Size of the total moment ... 0.00 μB per formula unit
# Excess energy over the best structure of this formula in the dataset ... 223.3 meV/atom
# Calculated volume ... 70 Å³ per cell
# VASP energy ... -4.96 eV/atom

=====

# GGA-PBE PmScAl, optimized geometry
data_PmScAl
_space_group_name_H-M_alt 'I 4 m m'
_space_group_IT_number 107
_space_group_name_Hall 'I 4 -2'
_cell_length_a 3.352
_cell_length_b 3.352
_cell_length_c 13.227
_cell_angle_alpha 90.00
_cell_angle_beta 90.00
_cell_angle_gamma 90.00
loop_
_atom_site_label
_atom_site_fract_x
_atom_site_fract_y
_atom_site_fract_z
Pm1 0.000 0.000 0.000
Sc1 0.000 0.000 0.700
Al1 0.000 0.000 0.335
# Size of the total moment ... 0.00 μB per formula unit
# Excess energy over the best structure of this formula in the dataset ... 17.0 meV/atom
# Calculated volume ... 149 Å³ per cell
# VASP energy ... -5.17 eV/atom

=====

# GGA-PBE Pm2Sc2Al3, optimized geometry
data_Pm2Sc2Al3
_space_group_name_H-M_alt 'C m m m'
_space_group_IT_number 65
_space_group_name_Hall '-C 2 2'
_cell_length_a 4.452
_cell_length_b 23.309
_cell_length_c 3.134
_cell_angle_alpha 90.00
_cell_angle_beta 90.00
_cell_angle_gamma 90.00
loop_
_atom_site_label
_atom_site_fract_x
_atom_site_fract_y
_atom_site_fract_z
Pm1 0.000 0.077 0.000
Sc1 0.000 0.210 0.000
Al1 0.000 0.338 0.500
Al2 0.000 0.500 0.500
# Size of the total moment ... 0.00 μB per formula unit
# Calculated volume ... 325 Å³ per cell
# VASP energy ... -5.01 eV/atom